(1)
DFT (GGA-PBE) results for a relaxed structure of HfNi4Rh.

Cell: 4.7692 4.7692 4.7692 Å, 60.00 60.00 60.00°
With the nearest neighbours (Å) after each atom.
Element x y z (fractional)
Ni1 0.6259 0.6259 0.6259  6 Ni 2.37-2.40
Ni2 0.6259 0.6259 0.1224  6 Ni 2.37-2.40
Ni3 0.6259 0.1224 0.6259  6 Ni 2.37-2.40
Ni4 0.1224 0.6259 0.6259  6 Ni 2.37-2.40
Rh1 0.0000 0.0000 0.0000  12 Ni 2.79, 4 Hf 2.92
Hf1 0.2500 0.2500 0.2500  12 Ni 2.80, 4 Rh 2.92

As for the total magnetization: 1.1 μB per formula unit.

***

(2)
DFT (GGA-PBE) results for a relaxed structure of Hf2NiRh.

Cell: 4.4342 5.6809 5.6809 Å, 70.44 90.00 90.00°
With the nearest neighbours (Å) after each atom.
Element x y z (fractional)
Rh1 0.7501 0.3777 0.3777  8 Hf 2.80-2.85, 2 Ni 2.99
Rh2 0.2499 0.6223 0.6223  8 Hf 2.80-2.85, 2 Ni 2.99
Hf1 0.7501 0.3597 0.8828  3 Ni 2.65-2.74, 4 Rh 2.80-2.85
Hf2 0.2499 0.1172 0.6403  3 Ni 2.65-2.74, 4 Rh 2.80-2.85
Hf3 0.2499 0.6403 0.1172  3 Ni 2.65-2.74, 4 Rh 2.80-2.85
Hf4 0.7501 0.8828 0.3597  3 Ni 2.65-2.74, 4 Rh 2.80-2.85
Ni1 0.2504 0.1610 0.1610  6 Hf 2.65-2.74
Ni2 0.7496 0.8390 0.8390  6 Hf 2.65-2.74

As for the total magnetization: 0.0 μB per formula unit.

***

(3)
DFT (GGA-PBE) results for a relaxed structure of Hf2NiRh2.

Cell: 4.9542 4.9542 5.2068 Å, 61.59 61.59 90.00°
With the nearest neighbours (Å) after each atom.
Element x y z (fractional)
Rh1 0.6632 0.6632 0.6735  1 Rh 2.52, 4 Hf 2.57, 1 Ni 2.59
Rh2 0.3368 0.3368 0.3265  1 Rh 2.52, 4 Hf 2.57, 1 Ni 2.59
Hf1 0.7500 0.2500 0.5000  4 Rh 2.57
Hf2 0.2500 0.7500 0.5000  4 Rh 2.57
Ni1 0.0000 0.0000 0.0000  2 Rh 2.59

As for the total magnetization: 0.0 μB per formula unit.

***

(4)
DFT (GGA-PBE) results for a relaxed structure of Hf2Ni2Rh.

Cell: 6.9616 6.9616 3.2040 Å, 90.00 90.00 90.00°
With the nearest neighbours (Å) after each atom.
Element x y z (fractional)
Ni1 0.6225 0.1225 0.0000  1 Ni 2.41, 6 Hf 2.54-2.66
Ni2 0.3775 0.8775 0.0000  1 Ni 2.41, 6 Hf 2.54-2.66
Ni3 0.1225 0.3775 0.0000  1 Ni 2.41, 6 Hf 2.54-2.66
Ni4 0.8775 0.6225 0.0000  1 Ni 2.41, 6 Hf 2.54-2.66
Hf1 0.6777 0.8223 0.5000  6 Ni 2.54-2.66
Hf2 0.3223 0.1777 0.5000  6 Ni 2.54-2.66
Hf3 0.8223 0.3223 0.5000  6 Ni 2.54-2.66
Hf4 0.1777 0.6777 0.5000  6 Ni 2.54-2.66
Rh1 0.5000 0.5000 0.0000  4 Ni 2.76, 8 Hf 3.02
Rh2 0.0000 0.0000 0.0000  4 Ni 2.76, 8 Hf 3.02

As for the total magnetization: 0.0 μB per formula unit.

***

Number 1: uncorrected energy -7.138 eV/atom, energy of formation from the pure elements -400 meV/atom, density of states at the Fermi level 7.90 states/eV/cell. Number 2: uncorrected energy -8.917 eV/atom, energy of formation from the pure elements -657 meV/atom, density of states at the Fermi level 4.63 states/eV/cell. Number 3: uncorrected energy -8.278 eV/atom, energy of formation from the pure elements -200 meV/atom, density of states at the Fermi level 3.40 states/eV/cell. Number 4: uncorrected energy -8.372 eV/atom, energy of formation from the pure elements -608 meV/atom, density of states at the Fermi level 8.29 states/eV/cell.